The following is a DFT calculation (PBE) of a relaxed structure of B7C5.

a = 8.4009 Å, b = 2.4894 Å, c = 8.1283 Å
α = 90.00°, β = 113.65°, γ = 90.00°
Space group Cm (No. 8)
Asymmetric unit:
B 0.0000 0.0000 0.0000
B 0.0031 0.0000 0.5869
B 0.1274 0.0000 0.8126
B 0.1401 0.5000 0.1364
B 0.2384 0.0000 0.6455
B 0.2722 0.5000 0.9435
B 0.3963 0.5000 0.7675
C 0.1259 0.5000 0.3279
C 0.2142 0.0000 0.4336
C 0.3443 0.5000 0.1689
C 0.4052 0.0000 0.4593
C 0.4295 0.0000 0.2789

Results
**Calculated volume**: 155.7 Å³ per cell
**E_tot**: -0.5434 Ry/atom

---

The following is a DFT calculation (PBE) of a relaxed structure of B7C5.

a = 14.1494 Å, b = 2.7032 Å, c = 4.5244 Å
α = 90.00°, β = 105.87°, γ = 90.00°
Space group Cm (No. 8)
Asymmetric unit:
B 0.0000 0.0000 0.0000
B 0.0023 0.5000 0.3278
B 0.1095 0.5000 0.2093
B 0.1214 0.5000 0.6055
B 0.3189 0.0000 0.5840
B 0.4279 0.5000 0.2561
B 0.4530 0.0000 0.6205
C 0.1208 0.0000 0.0571
C 0.1619 0.0000 0.7821
C 0.2792 0.0000 0.8867
C 0.3108 0.5000 0.3975
C 0.3123 0.5000 0.0748

Results
**Calculated volume**: 166.5 Å³ per cell
**E_tot**: -0.5376 Ry/atom

---

The following is a DFT calculation (PBE) of a relaxed structure of B7C5.

a = 3.9378 Å, b = 4.6686 Å, c = 5.3763 Å
α = 107.60°, β = 93.85°, γ = 113.75°
Space group P1 (No. 1)
Asymmetric unit:
B 0.0000 0.0000 0.0000
B 0.0053 0.6203 0.9794
B 0.3928 0.3616 0.6557
B 0.5109 0.2758 0.9256
B 0.5977 0.9873 0.4062
B 0.6329 0.9540 0.7882
B 0.9707 0.9783 0.6078
C 0.2201 0.6522 0.7336
C 0.2258 0.6267 0.2514
C 0.3451 0.3319 0.1827
C 0.5949 0.3322 0.4087
C 0.9970 0.6252 0.4792

Results
**Calculated volume**: 84.2 Å³ per cell
**E_tot**: -0.5362 Ry/atom

---

The following is a DFT calculation (PBE) of a relaxed structure of B7C5.

a = 4.0776 Å, b = 4.7322 Å, c = 4.7446 Å
α = 118.82°, β = 90.05°, γ = 103.50°
Space group P1 (No. 1)
Asymmetric unit:
B 0.0000 0.0000 0.0000
B 0.0015 0.5960 0.0014
B 0.0261 0.3831 0.3506
B 0.3840 0.4729 0.1341
B 0.3873 0.8845 0.1480
B 0.4707 0.5266 0.5218
B 0.9371 0.9638 0.6134
C 0.3624 0.1150 0.7959
C 0.5038 0.1939 0.5246
C 0.5712 0.8951 0.8454
C 0.7983 0.6047 0.2973
C 0.8869 0.2925 0.6250

Results
**Calculated volume**: 77.3 Å³ per cell
**E_tot**: -0.5384 Ry/atom

---

Which total moment belongs to each record? In order, 0.00, 0.00, 0.00, 0.00 Bohr magnetons per cell.
Which polymorph energy (0 for the lowest one) belongs to each record? In order, 181, 260, 279, 249 meV per atom.
Which density of states at the Fermi level belongs to each record? In order, 0.13, 0.11, 0.15, 0.12 states/eV/atom.